1.
Here is a relaxed Ba3SbS crystal from Alexandria. Energies are from PBE-GGA.

```
Ba3SbS
1.0
-0.4245 1.7804 5.6853
4.5778 -3.5502 1.4536
3.8127 4.4608 -1.1123
Sb S Ba
1 1 3
Direct
0.5000 0.5000 0.5000
0.0000 0.0000 0.0000
0.0000 0.5000 0.0000
0.0000 0.0000 0.5000
0.5000 0.0000 0.0000
```

Results
As for the energy above the most stable polymorph in this dataset: 0.00 eV per formula unit. Its density of states at the Fermi level is 3.35 states/eV/f.u. Its space group is No. 221. For the density, the calculation gives 4.41 g/cm³. The value obtained for the total DFT energy (no corrections) is -3.92 eV/atom.

***

2.
Here is a relaxed BaSbS2 crystal from Alexandria. Energies are from PBE-GGA.

```
BaSbS2
1.0
-7.8186 0.9718 4.1318
-8.5719 -2.1913 0.9311
-6.6273 -3.3672 4.8874
Sb S Ba
1 2 1
Direct
0.0000 0.0000 0.0000
0.9005 0.9006 0.9006
0.0994 0.0994 0.0995
0.5000 0.5000 0.5000
```

Results
Its density of states at the Fermi level is 2.81 states/eV/f.u. Its space group is No. 166. For the density, the calculation gives 3.50 g/cm³. The value obtained for the total DFT energy (no corrections) is -4.28 eV/atom.

***

3.
Here is a relaxed Ba2Sb2S crystal from Alexandria. Energies are from PBE-GGA.

```
Ba2Sb2S
1.0
8.6290 0.0000 0.0000
0.0000 8.6290 0.0000
0.0000 0.0000 4.8696
Sb S Ba
4 2 4
Direct
0.3870 0.8870 0.0000
0.8870 0.6130 0.0000
0.6130 0.1130 0.0000
0.1130 0.3870 0.0000
0.0000 0.0000 0.0000
0.5000 0.5000 0.0000
0.1861 0.6861 0.5000
0.6861 0.8139 0.5000
0.8139 0.3139 0.5000
0.3139 0.1861 0.5000
```

Results
As for the energy above the most stable polymorph in this dataset: 0.00 eV per formula unit. Its density of states at the Fermi level is 1.10 states/eV/f.u. Its space group is No. 127. For the density, the calculation gives 5.04 g/cm³. The value obtained for the total DFT energy (no corrections) is -4.04 eV/atom.